*w*
First-principles (PBE) data for a geometry-optimized SrCaTc2 structure, as listed in Alexandria.

The structure in CIF format:
```
data_SrCaTc2
_cell_length_a 3.888
_cell_length_b 3.888
_cell_length_c 6.750
_cell_angle_alpha 90.00
_cell_angle_beta 90.00
_cell_angle_gamma 90.00
_symmetry_space_group_name_H-M 'P 4/m m m'
_symmetry_Int_Tables_number 123
_symmetry_space_group_name_Hall '-P 4 2'
loop_
_atom_site_label
_atom_site_type_symbol
_atom_site_fract_x
_atom_site_fract_y
_atom_site_fract_z
_atom_site_occupancy
Sr1 Sr 0.000 0.000 0.000 1
Ca1 Ca 0.000 0.000 0.500 1
Tc1 Tc 0.500 0.500 0.335 1
```


*x*
First-principles (PBE) data for a geometry-optimized SrCaTc2 structure, as listed in Alexandria.

The structure in CIF format:
```
data_SrCaTc2
_cell_length_a 4.059
_cell_length_b 4.067
_cell_length_c 10.088
_cell_angle_alpha 90.00
_cell_angle_beta 90.00
_cell_angle_gamma 90.00
_symmetry_space_group_name_H-M 'C m m m'
_symmetry_Int_Tables_number 65
_symmetry_space_group_name_Hall '-C 2 2'
loop_
_atom_site_label
_atom_site_type_symbol
_atom_site_fract_x
_atom_site_fract_y
_atom_site_fract_z
_atom_site_occupancy
Sr1 Sr 0.000 0.000 0.000 1
Ca1 Ca 0.000 0.000 0.500 1
Tc1 Tc 0.000 0.500 0.258 1
```


*y*
First-principles (PBE) data for a geometry-optimized SrCaTc2 structure, as listed in Alexandria.

The structure in CIF format:
```
data_SrCaTc2
_cell_length_a 7.162
_cell_length_b 4.138
_cell_length_c 8.709
_cell_angle_alpha 90.00
_cell_angle_beta 105.89
_cell_angle_gamma 90.00
_symmetry_space_group_name_H-M 'C 1 m 1'
_symmetry_Int_Tables_number 8
loop_
_symmetry_equiv_pos_as_xyz
'x,y,z'
'x,-y,z'
'x+1/2,y+1/2,z'
'x+1/2,-y+1/2,z'
loop_
_atom_site_label
_atom_site_type_symbol
_atom_site_fract_x
_atom_site_fract_y
_atom_site_fract_z
_atom_site_occupancy
Sr1 Sr 0.000 0.000 0.000 1
Ca1 Ca 0.320 0.500 0.458 1
Tc1 Tc 0.066 0.500 0.698 1
Tc2 Tc 0.245 0.000 0.732 1
```


The data favor *y*; the next most stable structure lies 51.4 kJ/mol of atoms above it.


*w*
First-principles (PBE) data for a geometry-optimized SrCaTc structure, as listed in Alexandria.

The structure in CIF format:
```
data_SrCaTc
_cell_length_a 7.371
_cell_length_b 7.371
_cell_length_c 7.371
_cell_angle_alpha 90.00
_cell_angle_beta 90.00
_cell_angle_gamma 90.00
_symmetry_space_group_name_H-M 'F -4 3 m'
_symmetry_Int_Tables_number 216
_symmetry_space_group_name_Hall 'F -4 2 3'
loop_
_atom_site_label
_atom_site_type_symbol
_atom_site_fract_x
_atom_site_fract_y
_atom_site_fract_z
_atom_site_occupancy
Sr1 Sr 0.000 0.000 0.000 1
Ca1 Ca 0.000 0.000 0.500 1
Tc1 Tc 0.250 0.250 0.250 1
```


*x*
First-principles (PBE) data for a geometry-optimized SrCaTc structure, as listed in Alexandria.

The structure in CIF format:
```
data_SrCaTc
_cell_length_a 3.560
_cell_length_b 3.560
_cell_length_c 14.479
_cell_angle_alpha 90.00
_cell_angle_beta 90.00
_cell_angle_gamma 90.00
_symmetry_space_group_name_H-M 'I 4 m m'
_symmetry_Int_Tables_number 107
_symmetry_space_group_name_Hall 'I 4 -2'
loop_
_atom_site_label
_atom_site_type_symbol
_atom_site_fract_x
_atom_site_fract_y
_atom_site_fract_z
_atom_site_occupancy
Sr1 Sr 0.000 0.000 0.000 1
Ca1 Ca 0.000 0.000 0.742 1
Tc1 Tc 0.000 0.000 0.363 1
```


The data favor *x*; the next most stable structure lies 29.9 kJ/mol of atoms above it.


*w*
First-principles (PBE) data for a geometry-optimized Sr3CaTc structure, as listed in Alexandria.

The structure in CIF format:
```
data_Sr3CaTc
_cell_length_a 6.026
_cell_length_b 6.026
_cell_length_c 6.026
_cell_angle_alpha 90.00
_cell_angle_beta 90.00
_cell_angle_gamma 90.00
_symmetry_space_group_name_H-M 'P m -3 m'
_symmetry_Int_Tables_number 221
_symmetry_space_group_name_Hall '-P 4 2 3'
loop_
_atom_site_label
_atom_site_type_symbol
_atom_site_fract_x
_atom_site_fract_y
_atom_site_fract_z
_atom_site_occupancy
Sr1 Sr 0.000 0.000 0.500 1
Ca1 Ca 0.000 0.000 0.000 1
Tc1 Tc 0.500 0.500 0.500 1
```


*x*
First-principles (PBE) data for a geometry-optimized Sr3CaTc structure, as listed in Alexandria.

The structure in CIF format:
```
data_Sr3CaTc
_cell_length_a 5.969
_cell_length_b 5.969
_cell_length_c 5.969
_cell_angle_alpha 90.00
_cell_angle_beta 90.00
_cell_angle_gamma 90.00
_symmetry_space_group_name_H-M 'P m -3 m'
_symmetry_Int_Tables_number 221
_symmetry_space_group_name_Hall '-P 4 2 3'
loop_
_atom_site_label
_atom_site_type_symbol
_atom_site_fract_x
_atom_site_fract_y
_atom_site_fract_z
_atom_site_occupancy
Sr1 Sr 0.000 0.000 0.500 1
Ca1 Ca 0.500 0.500 0.500 1
Tc1 Tc 0.000 0.000 0.000 1
```


The data favor *x*; the next most stable structure lies 131.4 kJ/mol of atoms above it.


*w*
First-principles (PBE) data for a geometry-optimized Sr2Ca2Te structure, as listed in Alexandria.

The structure in CIF format:
```
data_Sr2Ca2Te
_cell_length_a 8.382
_cell_length_b 8.382
_cell_length_c 6.285
_cell_angle_alpha 90.00
_cell_angle_beta 90.00
_cell_angle_gamma 90.00
_symmetry_space_group_name_H-M 'P 4/m b m'
_symmetry_Int_Tables_number 127
_symmetry_space_group_name_Hall '-P 4 2ab'
loop_
_atom_site_label
_atom_site_type_symbol
_atom_site_fract_x
_atom_site_fract_y
_atom_site_fract_z
_atom_site_occupancy
Sr1 Sr 0.162 0.338 0.000 1
Ca1 Ca 0.156 0.656 0.500 1
Te1 Te 0.000 0.000 0.500 1
```


*x*
First-principles (PBE) data for a geometry-optimized Sr2Ca2Te structure, as listed in Alexandria.

The structure in CIF format:
```
data_Sr2Ca2Te
_cell_length_a 8.633
_cell_length_b 8.633
_cell_length_c 6.291
_cell_angle_alpha 90.00
_cell_angle_beta 90.00
_cell_angle_gamma 90.00
_symmetry_space_group_name_H-M 'P 4/m b m'
_symmetry_Int_Tables_number 127
_symmetry_space_group_name_Hall '-P 4 2ab'
loop_
_atom_site_label
_atom_site_type_symbol
_atom_site_fract_x
_atom_site_fract_y
_atom_site_fract_z
_atom_site_occupancy
Sr1 Sr 0.162 0.338 0.000 1
Ca1 Ca 0.152 0.652 0.500 1
Te1 Te 0.000 0.000 0.000 1
```


The data favor *w*; the next most stable structure lies 5.8 kJ/mol of atoms above it.


*w*
First-principles (PBE) data for a geometry-optimized SrCa2Th structure, as listed in Alexandria.

The structure in CIF format:
```
data_SrCa2Th
_cell_length_a 3.6750
_cell_length_b 3.6750
_cell_length_c 41.4536
_cell_angle_alpha 90.00
_cell_angle_beta 90.00
_cell_angle_gamma 120.00
_symmetry_space_group_name_H-M 'R -3 m'
_symmetry_Int_Tables_number 166
_symmetry_space_group_name_Hall '-R 3 2"'
loop_
_atom_site_label
_atom_site_type_symbol
_atom_site_fract_x
_atom_site_fract_y
_atom_site_fract_z
_atom_site_occupancy
Sr1 Sr 0.0000 0.0000 0.0000 1
Ca1 Ca 0.0000 0.0000 0.4149 1
Th1 Th 0.0000 0.0000 0.5000 1
```


*x*
First-principles (PBE) data for a geometry-optimized SrCa2Th structure, as listed in Alexandria.

The structure in CIF format:
```
data_SrCa2Th
_cell_length_a 3.755
_cell_length_b 3.755
_cell_length_c 11.514
_cell_angle_alpha 90.00
_cell_angle_beta 90.00
_cell_angle_gamma 90.00
_symmetry_space_group_name_H-M 'P 4/m m m'
_symmetry_Int_Tables_number 123
_symmetry_space_group_name_Hall '-P 4 2'
loop_
_atom_site_label
_atom_site_type_symbol
_atom_site_fract_x
_atom_site_fract_y
_atom_site_fract_z
_atom_site_occupancy
Sr1 Sr 0.000 0.000 0.000 1
Ca1 Ca 0.500 0.500 0.276 1
Th1 Th 0.000 0.000 0.500 1
```


The data favor *x*; the next most stable structure lies 14.5 kJ/mol of atoms above it.